(1)
K2Sc3F10 PBE-GGA optimized geometry; final energy = -6.212 eV per atom; space group = C2/m (12); V = 15.563 A^3/atom; formation energy from raw total energies = -81.91 kcal/mol of atoms
1.0
5.8681 0.0000 -1.9098
-0.9869 7.8285 -3.0322
0.0556 0.0099 10.1408
K Sc F
4 6 20
Direct
0.7074 0.3360 0.4148
0.2926 0.6640 0.5852
0.6133 0.7248 0.2266
0.3867 0.2752 0.7734
0.9164 0.5161 0.8328
0.0836 0.4839 0.1672
0.8221 0.9804 0.6442
0.1779 0.0196 0.3558
0.7645 0.0000 0.0000
0.2355 0.0000 0.0000
0.6215 0.9828 0.7767
0.1553 0.9828 0.7767
0.3785 0.0172 0.2233
0.8447 0.0172 0.2233
0.6112 0.4999 0.6989
0.0878 0.4999 0.6989
0.3888 0.5001 0.3011
0.9122 0.5001 0.3011
0.9660 0.7794 0.9320
0.0340 0.2206 0.0680
0.8743 0.2494 0.7485
0.1257 0.7506 0.2515
0.7756 0.7346 0.5512
0.2244 0.2654 0.4488
0.4783 0.8254 0.9567
0.5217 0.1746 0.0433
0.7890 0.5000 0.0000
0.2110 0.5000 0.0000
0.5000 0.0000 0.5000
0.0000 0.0000 0.5000

***

(2)
KSc2F PBE-GGA optimized geometry; final energy = -3.565 eV per atom; space group = Fm-3m (225); V = 27.104 A^3/atom; formation energy from raw total energies = 7.91 kcal/mol of atoms
1.0
0.0000 3.7846 3.7846
3.7846 0.0000 3.7846
3.7846 3.7846 0.0000
Sc K F
2 1 1
Direct
0.2500 0.2500 0.2500
0.7500 0.7500 0.7500
0.5000 0.5000 0.5000
0.0000 0.0000 0.0000

***

(3)
KSc3F PBE-GGA optimized geometry; final energy = -3.036 eV per atom; space group = Pm-3m (221); V = 28.425 A^3/atom; formation energy from raw total energies = 31.29 kcal/mol of atoms
1.0
-2.0944 4.2866 2.1149
1.2763 -1.7237 4.7575
4.6064 2.4266 -0.3566
Sc K F
3 1 1
Direct
0.0000 0.5000 0.0000
0.0000 0.0000 0.5000
0.5000 0.0000 0.0000
0.0000 0.0000 0.0000
0.5000 0.5000 0.5000

***

(4)
KScF5 PBE-GGA optimized geometry; final energy = -5.408 eV per atom; space group = C2/c (15); V = 20.415 A^3/atom; formation energy from raw total energies = -69.42 kcal/mol of atoms
1.0
-6.1357 1.3060 -0.5714
-2.3873 -4.0469 -4.1955
-4.2939 -5.7340 4.0280
K Sc F
2 2 10
Direct
0.5299 0.4701 0.2500
0.4701 0.5299 0.7500
0.0000 0.0000 0.0000
0.0000 0.0000 0.5000
0.8017 0.7674 0.1072
0.2595 0.7237 0.4784
0.7674 0.8017 0.6072
0.9627 0.0373 0.2500
0.2763 0.7405 0.0216
0.7237 0.2595 0.9784
0.0373 0.9627 0.7500
0.2326 0.1983 0.3928
0.7405 0.2763 0.5216
0.1983 0.2326 0.8928

***

(5)
KSc3F PBE-GGA optimized geometry; final energy = -4.639 eV per atom; space group = Pm-3m (221); V = 24.416 A^3/atom; formation energy from raw total energies = -5.67 kcal/mol of atoms
1.0
-2.0620 -4.3574 1.1707
4.4551 -2.1699 -0.2296
0.7137 0.9559 4.8152
Sc K F
3 1 1
Direct
0.0000 0.5000 0.0000
0.0000 0.0000 0.5000
0.5000 0.0000 0.0000
0.5000 0.5000 0.5000
0.0000 0.0000 0.0000

***

(6)
KSc4F12 PBE-GGA optimized geometry; final energy = -6.633 eV per atom; space group = Im-3 (204); V = 16.624 A^3/atom; formation energy from raw total energies = -86.64 kcal/mol of atoms
1.0
6.7435 -0.0204 -2.4078
-3.3712 5.8464 -2.3930
0.0224 0.0204 7.1604
K Sc F
1 4 12
Direct
0.0000 0.5000 0.5000
0.5000 0.0000 0.0000
0.0000 0.5000 0.0000
0.0000 0.0000 0.5000
0.5000 0.5000 0.5000
0.2448 0.7435 0.9882
0.0016 0.7453 0.2563
0.4891 0.7453 0.7437
0.2439 0.9890 0.7451
0.7561 0.5011 0.7451
0.2448 0.2565 0.5013
0.7552 0.7435 0.4987
0.7561 0.0110 0.2549
0.2439 0.4989 0.2549
0.5109 0.2547 0.2563
0.9984 0.2547 0.7437
0.7552 0.2565 0.0118